Density functional theory data (GGA-PBE) for a relaxed structure of CsCr2InSn.

The calculation puts the volume at 40.492 A^3/atom. The calculated density comes out at 3858 kg/m3. As for the density of states at the Fermi level: 3.4 states/eV per cell. The energy comes out at -3.4492 eV/atom.

The space group is P4/mmm (No. 123) and the conventional cell measures 5.735, 5.735 and 6.155 Å, with angles of 90.00, 90.00 and 90.00 degrees. The inequivalent atoms are Cs at (0.000, 0.000, 0.000), Cr at (0.000, 0.500, 0.000), In at (0.000, 0.000, 0.500) and Sn at (0.500, 0.500, 0.500).